First-principles (PBE) data for Sr2Ga2Cu after structural relaxation, as listed in the Alexandria database.

Cell: 7.3550 7.3550 4.9191 Å, 90.00 90.00 90.00°
Last column: nearest neighbours and their distance in Å.
Fractional positions:
Sr (0.1756, 0.6756, 0.5000)  6 Ga 3.19-3.34
Sr (0.3244, 0.1756, 0.5000)  6 Ga 3.19-3.34
Sr (0.8244, 0.3244, 0.5000)  6 Ga 3.19-3.34
Sr (0.6756, 0.8244, 0.5000)  6 Ga 3.19-3.34
Ga (0.8710, 0.6290, 0.0000)  1 Ga 2.68, 2 Cu 2.89
Ga (0.3710, 0.8710, 0.0000)  1 Ga 2.68, 2 Cu 2.89
Ga (0.1290, 0.3710, 0.0000)  1 Ga 2.68, 2 Cu 2.89
Ga (0.6290, 0.1290, 0.0000)  1 Ga 2.68, 2 Cu 2.89
Cu (0.0000, 0.0000, 0.0000)  4 Ga 2.89
Cu (0.5000, 0.5000, 0.0000)  4 Ga 2.89

Output
Energy relative to the elements, eV/f.u.: -0.8
Mass density, g/cm3: 4.7

First-principles (PBE) data for PPtPb2 after structural relaxation, as listed in the Alexandria database.

Cell: 3.4448 3.4448 7.5172 Å, 90.00 90.00 90.00°
Last column: nearest neighbours and their distance in Å.
Fractional positions:
Pb (0.0000, 0.0000, 0.2377)  4 Pt 3.02, 4 P 3.13
Pb (0.0000, 0.0000, 0.7623)  4 Pt 3.02, 4 P 3.13
P (0.5000, 0.5000, 0.5000)  8 Pb 3.13, 4 P 3.44
Pt (0.5000, 0.5000, 0.0000)  8 Pb 3.02

Output
Energy relative to the elements, eV/f.u.: 0.8
Mass density, g/cm3: 11.9

First-principles (PBE) data for Cu5SiPt2 after structural relaxation, as listed in the Alexandria database.

Cell: 3.7584 5.2775 10.5117 Å, 90.00 90.00 90.00°
Last column: nearest neighbours and their distance in Å.
Fractional positions:
Cu (0.0000, 0.9445, 0.7484)  7 Cu 2.57-2.66, 1 Si 2.63, 4 Pt 2.73-2.74
Cu (0.5000, 0.8068, 0.1391)  6 Cu 2.57-2.59, 4 Pt 2.64-2.67, 2 Si 2.88
Cu (0.0000, 0.4445, 0.7516)  7 Cu 2.57-2.66, 1 Si 2.63, 4 Pt 2.73-2.74
Cu (0.0000, 0.5000, 0.5000)  6 Cu 2.59-2.66, 2 Si 2.64, 4 Pt 2.72
Cu (0.0000, 0.0555, 0.2516)  7 Cu 2.57-2.66, 1 Si 2.63, 4 Pt 2.73-2.74
Cu (0.0000, 0.0000, 0.0000)  6 Cu 2.59-2.66, 2 Si 2.64, 4 Pt 2.72
Cu (0.5000, 0.3068, 0.3609)  6 Cu 2.57-2.59, 4 Pt 2.64-2.67, 2 Si 2.88
Cu (0.5000, 0.1931, 0.8609)  6 Cu 2.57-2.59, 4 Pt 2.64-2.67, 2 Si 2.88
Cu (0.5000, 0.6932, 0.6391)  6 Cu 2.57-2.59, 4 Pt 2.64-2.67, 2 Si 2.88
Cu (0.0000, 0.5555, 0.2484)  7 Cu 2.57-2.66, 1 Si 2.63, 4 Pt 2.73-2.74
Si (0.0000, 0.5000, 0.0000)  4 Pt 2.43, 4 Cu 2.63-2.64
Si (0.0000, 0.0000, 0.5000)  4 Pt 2.43, 4 Cu 2.63-2.64
Pt (0.5000, 0.3039, 0.1091)  2 Si 2.43, 6 Cu 2.64-2.72
Pt (0.5000, 0.8039, 0.3909)  2 Si 2.43, 6 Cu 2.64-2.72
Pt (0.5000, 0.1961, 0.6091)  2 Si 2.43, 6 Cu 2.64-2.72
Pt (0.5000, 0.6961, 0.8909)  2 Si 2.43, 6 Cu 2.64-2.72

Output
Energy relative to the elements, uncorrected, eV per atom: -0.260
Mass density, g/cm3: 11.7

no.,calculated total energy (eV per atom)
1,-2.854
2,-4.515
3,-5.008